Entry 1:
Density functional theory data (PBE) for a relaxed structure of NdZnInTe3.

Properties
The excess energy over the best structure of this formula in the dataset comes out at 2.5 kJ/mol of atoms. For the calculated volume, the calculation gives 756.7 Å³ per cell. Its space group is No. 62. Its crystal system is orthorhombic. The total magnetic moment is 0.02 μB per cell.

abc: 12.6296 4.5637 13.1283
angles: 90.00 90.00 90.00
Element x y z (fractional)
Nd 0.0251 0.2500 0.1837
Nd 0.4749 0.7500 0.6837
Nd 0.5251 0.2500 0.3163
Nd 0.9749 0.7500 0.8163
Zn 0.2422 0.7500 0.2999
Zn 0.2578 0.2500 0.7999
Zn 0.7422 0.7500 0.2001
Zn 0.7578 0.2500 0.7001
In 0.1839 0.2500 0.4936
In 0.3161 0.7500 0.9936
In 0.6839 0.2500 0.0064
In 0.8161 0.7500 0.5064
Te 0.0398 0.7500 0.3567
Te 0.1022 0.2500 0.9393
Te 0.2174 0.7500 0.6912
Te 0.2826 0.2500 0.1912
Te 0.3978 0.7500 0.4393
Te 0.4602 0.2500 0.8567
Te 0.5398 0.7500 0.1433
Te 0.6022 0.2500 0.5607
Te 0.7174 0.7500 0.8088
Te 0.7826 0.2500 0.3088
Te 0.8978 0.7500 0.0607
Te 0.9602 0.2500 0.6433

***

Entry 2:
Density functional theory data (PBE) for a relaxed structure of SrPrGe2.

Properties
For the calculated volume, the calculation gives 130.1 Å³ per cell. Its space group is No. 38. Its crystal system is orthorhombic. The calculation puts the total DFT energy (no corrections) at -3.8533 eV/atom. The total magnetic moment is 0.05 μB per cell.

abc: 3.4999 6.8109 6.8109
angles: 53.28 90.00 90.00
Element x y z (fractional)
Sr 0.0000 0.0000 0.0000
Pr 0.0000 0.6915 0.6915
Ge 0.0000 0.2525 0.2525
Ge 0.0000 0.4540 0.4540

***

Entry 3:
Density functional theory data (PBE) for a relaxed structure of LiUAuSe3.

Properties
For the calculated volume, the calculation gives 289.3 Å³ per cell. Its space group is No. 63. Its crystal system is orthorhombic. The calculation puts the total DFT energy (no corrections) at -5.3369 eV/atom. The total magnetic moment is 4.00 μB per cell.

abc: 7.0417 7.0417 10.6621
angles: 90.00 90.00 146.82
Element x y z (fractional)
Li 0.2054 0.7946 0.7500
Li 0.7946 0.2054 0.2500
U 0.0000 0.0000 0.0000
U 0.0000 0.0000 0.5000
Au 0.4660 0.5340 0.2500
Au 0.5340 0.4660 0.7500
Se 0.0943 0.9057 0.2500
Se 0.3542 0.6458 0.0550
Se 0.3542 0.6458 0.4450
Se 0.6458 0.3542 0.5550
Se 0.6458 0.3542 0.9450
Se 0.9057 0.0943 0.7500

***

Entry 4:
Density functional theory data (PBE) for a relaxed structure of AlNiI6.

Properties
For the calculated volume, the calculation gives 320.6 Å³ per cell. Its space group is No. 216. Its crystal system is cubic. The calculation puts the total DFT energy (no corrections) at -2.0479 eV/atom. The total magnetic moment is 1.25 μB per cell.

abc: 7.6823 7.6823 7.6823
angles: 60.00 60.00 60.00
Element x y z (fractional)
Al 0.0000 0.0000 0.0000
Ni 0.7500 0.7500 0.7500
I 0.2488 0.2488 0.7512
I 0.2488 0.7512 0.2488
I 0.2488 0.7512 0.7512
I 0.7512 0.2488 0.2488
I 0.7512 0.2488 0.7512
I 0.7512 0.7512 0.2488

***

Entry 5:
Density functional theory data (PBE) for a relaxed structure of LiTbCu3Se4.

Properties
The excess energy over the best structure of this formula in the dataset comes out at 0.0 kJ/mol of atoms. For the calculated volume, the calculation gives 436.4 Å³ per cell. Its space group is No. 11. Its crystal system is monoclinic. The total magnetic moment is 0.04 μB per cell.

abc: 6.1596 7.7335 9.5746
angles: 90.00 106.90 90.00
Element x y z (fractional)
Li 0.0766 0.2500 0.1812
Li 0.9234 0.7500 0.8188
Tb 0.2821 0.2500 0.6968
Tb 0.7179 0.7500 0.3032
Cu 0.1924 0.7500 0.2381
Cu 0.2979 0.5765 0.4854
Cu 0.2979 0.9235 0.4854
Cu 0.7021 0.0765 0.5145
Cu 0.7021 0.4235 0.5145
Cu 0.8076 0.2500 0.7619
Se 0.0434 0.7500 0.5764
Se 0.1543 0.2500 0.9408
Se 0.4075 0.0153 0.2759
Se 0.4075 0.4847 0.2759
Se 0.5925 0.5153 0.7241
Se 0.5925 0.9847 0.7241
Se 0.8457 0.7500 0.0592
Se 0.9566 0.2500 0.4236

***

Entry 6:
Density functional theory data (PBE) for a relaxed structure of NdAlPt.

Properties
For the calculated volume, the calculation gives 253.9 Å³ per cell. Its space group is No. 62. Its crystal system is orthorhombic. The calculation puts the total DFT energy (no corrections) at -5.9158 eV/atom. The total magnetic moment is 0.01 μB per cell.

abc: 7.1682 4.4970 7.8778
angles: 90.00 90.00 90.00
Element x y z (fractional)
Nd 0.0294 0.2500 0.1820
Nd 0.4706 0.7500 0.6820
Nd 0.5294 0.2500 0.3180
Nd 0.9706 0.7500 0.8180
Al 0.1455 0.2500 0.5665
Al 0.3545 0.7500 0.0665
Al 0.6455 0.2500 0.9335
Al 0.8545 0.7500 0.4335
Pt 0.2172 0.7500 0.3886
Pt 0.2828 0.2500 0.8886
Pt 0.7172 0.7500 0.1114
Pt 0.7828 0.2500 0.6114

***

Entry 7:
Density functional theory data (PBE) for a relaxed structure of Y2Ga2NiPt3.

Properties
For the calculated volume, the calculation gives 147.8 Å³ per cell. Its space group is No. 156. Its crystal system is trigonal. The calculation puts the total DFT energy (no corrections) at -6.2722 eV/atom. The total magnetic moment is 0.01 μB per cell.

abc: 4.3396 4.3396 9.0653
angles: 90.00 90.00 120.00
Element x y z (fractional)
Y 0.0000 0.0000 0.0000
Y 0.3333 0.6667 0.5073
Ga 0.6667 0.3333 0.2522
Ga 0.6667 0.3333 0.7574
Ni 0.3333 0.6667 0.8298
Pt 0.0000 0.0000 0.3375
Pt 0.0000 0.0000 0.6808
Pt 0.3333 0.6667 0.1603

***

Entry 8:
Density functional theory data (PBE) for a relaxed structure of MgTaZnCu.

Properties
The excess energy over the best structure of this formula in the dataset comes out at 0.0 kJ/mol of atoms. For the calculated volume, the calculation gives 62.6 Å³ per cell. Its space group is No. 216. Its crystal system is cubic. The total magnetic moment is 0.00 μB per cell.

abc: 4.4563 4.4563 4.4563
angles: 60.00 60.00 60.00
Element x y z (fractional)
Mg 0.0000 0.0000 0.0000
Ta 0.7500 0.7500 0.7500
Zn 0.2500 0.2500 0.2500
Cu 0.5000 0.5000 0.5000

***

Entry 9:
Density functional theory data (PBE) for a relaxed structure of NdCuB4.

Properties
The excess energy over the best structure of this formula in the dataset comes out at 0.0 kJ/mol of atoms. For the calculated volume, the calculation gives 61.8 Å³ per cell. Its space group is No. 191. Its crystal system is hexagonal. The total magnetic moment is 0.00 μB per cell.

abc: 3.2259 3.2259 6.8583
angles: 90.00 90.00 120.00
Element x y z (fractional)
Nd 0.0000 0.0000 0.0000
Cu 0.0000 0.0000 0.5000
B 0.3333 0.6667 0.2958
B 0.3333 0.6667 0.7042
B 0.6667 0.3333 0.2958
B 0.6667 0.3333 0.7042

***

Entry 10:
Density functional theory data (PBE) for a relaxed structure of ZnSb2Os.

Properties
For the calculated volume, the calculation gives 223.1 Å³ per cell. Its space group is No. 122. Its crystal system is tetragonal. The calculation puts the total DFT energy (no corrections) at -4.6993 eV/atom. The total magnetic moment is 0.00 μB per cell.

abc: 7.4778 7.4778 7.4778
angles: 132.48 132.48 69.48
Element x y z (fractional)
Zn 0.0000 0.0000 0.0000
Zn 0.7500 0.2500 0.5000
Sb 0.1485 0.1250 0.5235
Sb 0.3750 0.8515 0.9765
Sb 0.6015 0.6250 0.4765
Sb 0.8750 0.3985 0.0235
Os 0.2500 0.7500 0.5000
Os 0.5000 0.5000 0.0000

***

Entry 11:
Density functional theory data (PBE) for a relaxed structure of BaPrPu.

Properties
The excess energy over the best structure of this formula in the dataset comes out at 0.0 kJ/mol of atoms. For the calculated volume, the calculation gives 123.2 Å³ per cell. Its space group is No. 216. Its crystal system is cubic. The total magnetic moment is 6.91 μB per cell.

abc: 5.5857 5.5857 5.5857
angles: 60.00 60.00 60.00
Element x y z (fractional)
Ba 0.0000 0.0000 0.0000
Pr 0.7500 0.7500 0.7500
Pu 0.2500 0.2500 0.2500

***

Entry 12:
Density functional theory data (PBE) for a relaxed structure of Tm2Nb2SiGe.

Properties
For the calculated volume, the calculation gives 122.8 Å³ per cell. Its space group is No. 99. Its crystal system is tetragonal. The calculation puts the total DFT energy (no corrections) at -7.1698 eV/atom. The total magnetic moment is 1.01 μB per cell.

abc: 3.9998 3.9998 7.6771
angles: 90.00 90.00 90.00
Element x y z (fractional)
Tm 0.0000 0.0000 0.0000
Tm 0.5000 0.5000 0.2948
Nb 0.0000 0.5000 0.6426
Nb 0.5000 0.0000 0.6426
Si 0.0000 0.0000 0.3993
Ge 0.5000 0.5000 0.8975

***

Entry 13:
Density functional theory data (PBE) for a relaxed structure of TmSiHO4.

Properties
The excess energy over the best structure of this formula in the dataset comes out at 15.3 kJ/mol of atoms. For the calculated volume, the calculation gives 159.7 Å³ per cell. Its space group is No. 7. Its crystal system is monoclinic. The total magnetic moment is 0.00 μB per cell.

abc: 4.3640 5.0103 8.4401
angles: 90.00 120.10 90.00
Element x y z (fractional)
Tm 0.0000 0.0939 0.0000
Tm 0.0000 0.9061 0.5000
Si 0.7839 0.4127 0.2318
Si 0.7839 0.5873 0.7318
H 0.4881 0.3077 0.3745
H 0.4881 0.6923 0.8745
O 0.1547 0.2704 0.2694
O 0.1547 0.7296 0.7694
O 0.5039 0.2521 0.0449
O 0.5039 0.7479 0.5449
O 0.7435 0.2679 0.7359
O 0.7435 0.7321 0.2359
O 0.7775 0.3066 0.4194
O 0.7775 0.6934 0.9194

***

Entry 14:
Density functional theory data (PBE) for a relaxed structure of HoScAlCo2.

Properties
For the calculated volume, the calculation gives 84.1 Å³ per cell. Its space group is No. 44. Its crystal system is orthorhombic. The calculation puts the total DFT energy (no corrections) at -6.2061 eV/atom. The total magnetic moment is 0.00 μB per cell.

abc: 5.1866 5.1866 5.1866
angles: 135.07 118.19 79.60
Element x y z (fractional)
Ho 0.0000 0.0000 0.0000
Sc 0.4096 0.4096 0.0000
Al 0.7013 0.2013 0.5000
Co 0.4296 0.7054 0.7242
Co 0.9812 0.7054 0.2758

***

Entry 15:
Density functional theory data (PBE) for a relaxed structure of NaGdGaSe3.

Properties
For the calculated volume, the calculation gives 326.1 Å³ per cell. Its space group is No. 63. Its crystal system is orthorhombic. The calculation puts the total DFT energy (no corrections) at -4.3754 eV/atom. The total magnetic moment is 0.01 μB per cell.

abc: 6.9520 6.9520 11.0125
angles: 90.00 90.00 142.21
Element x y z (fractional)
Na 0.2463 0.7537 0.7500
Na 0.7537 0.2463 0.2500
Gd 0.0000 0.0000 0.0000
Gd 0.0000 0.0000 0.5000
Ga 0.4886 0.5114 0.2500
Ga 0.5114 0.4886 0.7500
Se 0.0783 0.9217 0.2500
Se 0.3658 0.6342 0.0727
Se 0.3658 0.6342 0.4273
Se 0.6342 0.3658 0.5727
Se 0.6342 0.3658 0.9273
Se 0.9217 0.0783 0.7500

***

Entry 16:
Density functional theory data (PBE) for a relaxed structure of PmSiW.

Properties
The excess energy over the best structure of this formula in the dataset comes out at 0.0 kJ/mol of atoms. For the calculated volume, the calculation gives 65.7 Å³ per cell. Its space group is No. 216. Its crystal system is cubic. The total magnetic moment is 0.49 μB per cell.

abc: 4.5293 4.5293 4.5293
angles: 60.00 60.00 60.00
Element x y z (fractional)
Pm 0.0000 0.0000 0.0000
Si 0.2500 0.2500 0.2500
W 0.5000 0.5000 0.5000

***

Entry 17:
Density functional theory data (PBE) for a relaxed structure of Nd6Fe13Pd.

Properties
Its energy of formation is -6.11 kJ/mol of atoms. For the calculated volume, the calculation gives 719.5 Å³ per cell. Its space group is No. 140. Its crystal system is tetragonal. The total magnetic moment is 50.64 μB per cell.

abc: 12.6397 12.6397 12.6397
angles: 143.22 143.22 53.00
Element x y z (fractional)
Nd 0.0251 0.5251 0.1729
Nd 0.1095 0.1095 0.0000
Nd 0.1478 0.9749 0.5000
Nd 0.3522 0.8522 0.8271
Nd 0.3905 0.3905 0.0000
Nd 0.4749 0.6478 0.5000
Nd 0.5251 0.3522 0.5000
Nd 0.6095 0.6095 0.0000
Nd 0.6478 0.1478 0.1729
Nd 0.8522 0.0251 0.5000
Nd 0.8905 0.8905 0.0000
Nd 0.9749 0.4749 0.8271
Fe 0.0000 0.5000 0.5000
Fe 0.0171 0.2889 0.5000
Fe 0.0666 0.2091 0.2757
Fe 0.1185 0.6185 0.8578
Fe 0.2091 0.9334 0.1426
Fe 0.2111 0.4829 0.5000
Fe 0.2393 0.7393 0.8578
Fe 0.2607 0.1185 0.5000
Fe 0.2889 0.7889 0.2718
Fe 0.2909 0.4334 0.7243
Fe 0.3815 0.2393 0.5000
Fe 0.4334 0.7091 0.1426
Fe 0.4829 0.9829 0.2718
Fe 0.5000 0.0000 0.5000
Fe 0.5171 0.0171 0.7282
Fe 0.5666 0.2909 0.8574
Fe 0.6185 0.7607 0.5000
Fe 0.7091 0.5666 0.2757
Fe 0.7111 0.2111 0.7282
Fe 0.7393 0.8815 0.5000
Fe 0.7607 0.2607 0.1422
Fe 0.7889 0.5171 0.5000
Fe 0.7909 0.0666 0.8574
Fe 0.8815 0.3815 0.1422
Fe 0.9334 0.7909 0.7243
Fe 0.9829 0.7111 0.5000
Pd 0.2500 0.2500 0.0000
Pd 0.7500 0.7500 0.0000

***

Entry 18:
Density functional theory data (PBE) for a relaxed structure of KLuGe2O6.

Properties
For the calculated volume, the calculation gives 273.0 Å³ per cell. Its space group is No. 15. Its crystal system is monoclinic. The calculation puts the total DFT energy (no corrections) at -6.7251 eV/atom. The total magnetic moment is 0.00 μB per cell.

abc: 7.0801 7.0801 5.6422
angles: 100.60 100.60 85.51
Element x y z (fractional)
K 0.1847 0.8153 0.7500
K 0.8153 0.1847 0.2500
Lu 0.3952 0.6048 0.2500
Lu 0.6048 0.3952 0.7500
Ge 0.1269 0.3047 0.7845
Ge 0.3047 0.1269 0.2845
Ge 0.6953 0.8731 0.7155
Ge 0.8731 0.6953 0.2155
O 0.1032 0.5983 0.2866
O 0.1301 0.1657 0.0204
O 0.1657 0.1301 0.5204
O 0.3175 0.4613 0.8670
O 0.4017 0.8968 0.2134
O 0.4613 0.3175 0.3670
O 0.5387 0.6825 0.6330
O 0.5983 0.1032 0.7866
O 0.6825 0.5387 0.1330
O 0.8343 0.8699 0.4796
O 0.8699 0.8343 0.9796
O 0.8968 0.4017 0.7134

***

Entry 19:
Density functional theory data (PBE) for a relaxed structure of Ba4IrS3.

Properties
For the calculated volume, the calculation gives 247.2 Å³ per cell. Its space group is No. 6. Its crystal system is monoclinic. The calculation puts the total DFT energy (no corrections) at -4.9247 eV/atom. The total magnetic moment is 0.11 μB per cell.

abc: 6.2378 4.5506 8.9610
angles: 90.00 103.59 90.00
Element x y z (fractional)
Ba 0.0000 0.0000 0.0000
Ba 0.1472 0.0000 0.5119
Ba 0.4514 0.5000 0.8314
Ba 0.6030 0.5000 0.3193
Ir 0.8487 0.5000 0.6803
S 0.0850 0.5000 0.2630
S 0.5225 0.0000 0.0693
S 0.7184 0.0000 0.6380

***

Entry 20:
Density functional theory data (PBE) for a relaxed structure of AlZn.

Properties
For the calculated volume, the calculation gives 125.9 Å³ per cell. Its space group is No. 59. Its crystal system is orthorhombic. The calculation puts the total DFT energy (no corrections) at -2.4565 eV/atom.

abc: 2.8145 4.6257 9.6690
angles: 90.00 90.00 90.00
Element x y z (fractional)
Al 0.2500 0.2500 0.0434
Al 0.2500 0.7500 0.2147
Al 0.7500 0.2500 0.7853
Al 0.7500 0.7500 0.9566
Zn 0.2500 0.2500 0.5362
Zn 0.2500 0.7500 0.7059
Zn 0.7500 0.2500 0.2941
Zn 0.7500 0.7500 0.4638